Ac3Pd4Au4: relaxed, PBE-GGA.

Cell: 4.0572 4.5647 14.7115 Å, 81.11 82.33 89.94°
Space group P-1 (No. 2)
Asymmetric unit:
Ac: 0.0000 0.0000 0.0000 (multiplicity 1)
Ac: 0.1530 0.6498 0.7008 (multiplicity 2)
Pd: 0.2555 0.2551 0.4898 (multiplicity 2)
Pd: 0.3975 0.9011 0.1962 (multiplicity 2)
Au: 0.3068 0.8091 0.3814 (multiplicity 2)
Au: 0.4553 0.4506 0.0967 (multiplicity 2)

## Properties
DOS(E_F): 5.49 states/eV/f.u.
E: -4.9014 eV/atom
ΔE to the lowest computed polymorph: 0.29 kJ/mol of atoms
calculated density: 11.8 g/cm3
ΔE_f: -7.7 eV/f.u.